# PmBeAu

An optimized crystal structure of PmBeAu (GGA-PBE, Alexandria via LeMat-Bulk).

a = 5.045 Å, b = 5.045 Å, c = 8.618 Å
α = 90.00°, β = 90.00°, γ = 120.00°
Positions (direct):
Pm (0.000, 0.000, 0.000)
Pm (0.333, 0.667, 0.667)
Pm (0.667, 0.333, 0.333)
Be (0.000, 0.000, 0.649)
Be (0.333, 0.667, 0.315)
Be (0.667, 0.333, 0.982)
Au (0.000, 0.000, 0.388)
Au (0.333, 0.667, 0.055)
Au (0.667, 0.333, 0.722)

Offset from the most stable computed form   228 meV/atom
ΔH_f (0 K)   -224.4 meV/atom
SG   No. 160